[1]
# Tm4GeS2

A relaxed Tm4GeS2 crystal (PBE, Alexandria).

Geometry as POSCAR:
```
Tm4GeS2
1.0
-6.6732 -1.5967 -3.1242
6.3341 0.2679 -4.0804
1.1721 -5.7467 4.7375
Tm S Ge
8 4 2
direct
0.1426 0.3882 0.8378
0.0548 0.8004 0.6622
0.6118 0.4496 0.7544
0.1382 0.3926 0.3378
0.6074 0.9452 0.7456
0.5504 0.3048 0.1622
0.1996 0.8618 0.2544
0.6952 0.8574 0.2456
0.3750 0.8475 0.9725
0.1525 0.1250 0.5275
0.5975 0.6250 0.4725
0.8750 0.4025 0.0275
0.0000 0.0000 0.0000
0.7500 0.2500 0.5000
```

Results
ΔE_f (raw): -30.4 kcal/mol of atoms
VASP energy: -5.71 eV per atom
mass density: 8479 kg/m³
SG: I-42d (122)

---

[2]
# YTmGeS

A relaxed YTmGeS crystal (PBE, Alexandria).

Geometry as POSCAR:
```
YTmGeS
1.0
-3.9803 -0.2143 -0.5044
-2.1956 -2.4108 2.3475
-2.8699 4.0572 4.9209
Tm Ge Y S
1 1 1 1
direct
0.1945 0.1945 0.4164
0.9426 0.9426 0.1721
0.6935 0.6935 0.9194
0.4457 0.4457 0.6629
```

Results
ΔE_f (raw): -33.3 kcal/mol of atoms
VASP energy: -6.36 eV per atom
mass density: 6527 kg/m³
SG: R3m (160)

---

[3]
# UGe2S6

A relaxed UGe2S6 crystal (PBE, Alexandria).

Geometry as POSCAR:
```
UGe2S6
1.0
-2.9494 4.4243 3.6829
2.6896 -2.9733 7.4913
6.5702 5.3547 0.5947
S U Ge
12 2 4
direct
0.1533 0.1209 0.5969
0.8748 0.1873 0.0521
0.6252 0.9479 0.8127
0.8467 0.8791 0.4031
0.3767 0.7078 0.5471
0.6533 0.5969 0.1209
0.1233 0.4529 0.2922
0.1252 0.8127 0.9479
0.3748 0.0521 0.1873
0.6233 0.2922 0.4529
0.8767 0.5471 0.7078
0.3467 0.4031 0.8791
0.2500 0.1136 0.8864
0.7500 0.8864 0.1136
0.8194 0.3800 0.2331
0.6806 0.7669 0.6200
0.1806 0.6200 0.7669
0.3194 0.2331 0.3800
```

Results
ΔE_f (raw): -13.0 kcal/mol of atoms
VASP energy: -5.59 eV per atom
mass density: 4164 kg/m³
SG: C2/c (15)

---

[4]
# U3GeS6

A relaxed U3GeS6 crystal (PBE, Alexandria).

Geometry as POSCAR:
```
U3GeS6
1.0
6.7720 0.0000 0.0000
0.0000 8.3247 0.0425
0.0000 -1.8163 8.1243
U S Ge
6 12 2
direct
0.3815 0.3997 0.6003
0.4835 0.2809 0.0815
0.4835 0.9185 0.7191
0.9835 0.0815 0.2809
0.8815 0.6003 0.3997
0.9835 0.7191 0.9185
0.6814 0.6287 0.6961
0.6814 0.3039 0.3713
0.1239 0.7673 0.2327
0.7024 0.9057 0.4355
0.6239 0.2327 0.7673
0.1814 0.6961 0.6287
0.2024 0.0943 0.5645
0.7024 0.5645 0.0943
0.2024 0.4355 0.9057
0.2364 0.0104 0.9896
0.1814 0.3713 0.3039
0.7364 0.9896 0.0104
0.5089 0.8251 0.1749
0.0089 0.1749 0.8251
```

Results
ΔE_f (raw): -26.4 kcal/mol of atoms
VASP energy: -7.47 eV per atom
mass density: 7092 kg/m³
SG: Cmc2_1 (36)